ZnNi2Ag PBE optimized geometry; formation energy from the elements = 0.01 eV per atom; space group = No. 123
1.0
2.824 0.000 0.000
0.000 2.824 0.000
0.000 0.000 6.624
Ni Ag Zn
2 1 1
Direct
0.000 0.000 0.027 Ni
0.000 0.000 0.473 Ni
0.500 0.500 0.750 Ag
0.500 0.500 0.250 Zn